Compound: Ta2RuSe
Source: the Alexandria database
Functional: PBE
Structure: relaxed

mass density	13.2	g cm⁻³
D(E_F)	1.104	states/eV/atom
raw formation energy	0.05	eV/atom

Lattice parameters (Å, degrees): 8.448 8.448 8.448 21.06 21.06 21.06
Sites, in units of the cell vectors:
Ta (0.000, 0.000, 0.000)
Ta (0.500, 0.500, 0.500)
Se (0.750, 0.750, 0.750)
Ru (0.250, 0.250, 0.250)

Compound: Pm2ThZr
Source: the Alexandria database
Functional: PBE
Structure: relaxed

mass density	8.4	g cm⁻³
D(E_F)	1.336	states/eV/atom
ΔE_f	0.140	eV/atom
relative energy among the computed polymorphs	0.0000	eV per atom

Lattice parameters (Å, degrees): 5.124 4.874 4.874 90.00 90.00 90.00
Sites, in units of the cell vectors:
Th (0.500, 0.000, 0.000)
Pm (0.000, 0.000, 0.500)
Pm (0.000, 0.500, 0.000)
Zr (0.500, 0.500, 0.500)

Compound: Ba2TaNiSe
Source: the Alexandria database
Functional: PBE
Structure: relaxed

mass density	5.2	g cm⁻³
D(E_F)	1.304	states/eV/atom
raw formation energy	0.45	eV/atom

Lattice parameters (Å, degrees): 6.246 4.823 6.246 90.00 90.00 90.00
Sites, in units of the cell vectors:
Ba (0.500, 0.000, 0.000)
Ba (0.000, 0.000, 0.500)
Ta (0.000, 0.500, 0.000)
Ni (0.500, 0.500, 0.500)
Se (0.000, 0.000, 0.000)

Compound: Y2Ho3In3
Source: the Alexandria database
Functional: PBE
Structure: relaxed

mass density	7.7	g cm⁻³
D(E_F)	0.833	states/eV/atom
ΔE_f	-0.356	eV/atom
relative energy among the computed polymorphs	0.0032	eV per atom

Lattice parameters (Å, degrees): 4.915 4.907 9.108 90.00 90.00 90.00
Sites, in units of the cell vectors:
Ho (0.500, 0.000, 0.000)
Ho (0.500, 0.500, 0.737)
Ho (0.500, 0.500, 0.263)
Y (0.000, 0.000, 0.736)
Y (0.000, 0.000, 0.264)
In (0.000, 0.500, 0.000)
In (0.500, 0.000, 0.500)
In (0.000, 0.500, 0.500)